Entry from Alexandria via LeMat-Bulk: NpInTe after structural relaxation (PBE).

Lattice parameters (Å, degrees): 3.802 3.802 6.225 107.78 107.78 90.00
Each line ends with the local moment (μB).
Fractional positions:
1 Np 0.273 0.273 0.547  4.27
2 Te 0.621 0.621 0.242  -0.07
3 In 0.956 0.956 0.911  0.09

Properties
The distance to the lowest polymorph of the same formula is 0 meV/atom. As for the crystal system: tetragonal. For the energy, the calculation gives -19.19 eV per formula unit. As for the space group: I4mm.